## K2HfHg2 (PBE-GGA)

Data for crystalline K2HfHg2 at its relaxed geometry.

Cell: 4.0198 4.0198 12.1246 Å, 80.46 80.46 90.00°
With the nearest neighbours (Å) after each atom.
Element x y z (fractional)
Hf  0.0000  0.0000  0.0000  8 K 3.96, 4 Hf 4.02
Hg  0.7500  0.2500  0.5000  4 Hg 2.84
Hg  0.2500  0.7500  0.5000  4 Hg 2.84
K  0.6169  0.6169  0.7661  4 Hg 3.73, 4 Hf 3.96, 4 K 4.02
K  0.3831  0.3831  0.2339  4 Hg 3.73, 4 Hf 3.96, 4 K 4.02

**Uncorrected energy**: -1.895 eV per atom
**Energy above the most stable polymorph in this dataset**: 115 meV per atom
**ΔH_f (0 K)**: 0.655 eV per atom